Record 1
Compound: EuErNiAg
Source: Alexandria
Functional: PBE-GGA
Structure: relaxed

Values from the calculation:
Energy relative to the elements ... -183 meV/atom
V ... 90.6 Å³/cell
Magnetic moment ... 1.76 μB/atom

Geometry as CIF:
```
data_EuErNiAg
_space_group_name_H-M_alt 'P 1'
_space_group_IT_number 1
_cell_length_a 5.041
_cell_length_b 5.041
_cell_length_c 5.041
_cell_angle_alpha 60.00
_cell_angle_beta 60.00
_cell_angle_gamma 60.00
loop_
_space_group_symop_operation_xyz
'x,y,z'
loop_
_atom_site_label
_atom_site_type_symbol
_atom_site_fract_x
_atom_site_fract_y
_atom_site_fract_z
Ag1 Ag 0.250 0.250 0.250
Er1 Er 0.500 0.500 0.500
Ni1 Ni 0.750 0.750 0.750
Eu1 Eu 0.000 0.000 0.000
```


Record 2
Compound: EuErAgPt
Source: Alexandria
Functional: PBE-GGA
Structure: relaxed

Values from the calculation:
Energy relative to the elements ... -661 meV/atom
V ... 92.7 Å³/cell
Magnetic moment ... 1.75 μB/atom

Geometry as CIF:
```
data_EuErAgPt
_space_group_name_H-M_alt 'P 1'
_space_group_IT_number 1
_cell_length_a 5.080
_cell_length_b 5.080
_cell_length_c 5.080
_cell_angle_alpha 60.00
_cell_angle_beta 60.00
_cell_angle_gamma 60.00
loop_
_space_group_symop_operation_xyz
'x,y,z'
loop_
_atom_site_label
_atom_site_type_symbol
_atom_site_fract_x
_atom_site_fract_y
_atom_site_fract_z
Pt1 Pt 0.750 0.750 0.750
Eu1 Eu 0.000 0.000 0.000
Ag1 Ag 0.250 0.250 0.250
Er1 Er 0.500 0.500 0.500
```